No. 1
ScFeO2F | PBE+U | optimized geometry

Properties
As for the space group: P4/mmm. The calculation puts the total magnetic moment at 4.00 μB per formula unit. The value obtained for the total energy is -0.2527 Ha/atom.

a b c (Å): 4.098 4.098 3.925
angles (deg): 90.00 90.00 90.00
Each line ends with the local moment (μB).
Positions (direct):
F: 0.000 0.000 0.500  0.01
O: 0.500 0.000 0.000  0.02
O: 0.000 0.500 0.000  0.02
Sc: 0.000 0.000 0.000  0.00
Fe: 0.500 0.500 0.500  3.81

No. 2
Sr2Fe2Se2OF2 | PBE+U | optimized geometry

Properties
As for the space group: I4/mmm. The calculation puts the total magnetic moment at 8.00 μB per formula unit. The value obtained for the total energy is -0.2040 Ha/atom.

a b c (Å): 4.165 4.165 9.880
angles (deg): 102.17 102.17 90.00
Each line ends with the local moment (μB).
Positions (direct):
Sr: 0.325 0.325 0.650  0.01
Sr: 0.675 0.675 0.350  0.01
Fe: 0.500 0.000 0.000  3.71
Fe: 0.000 0.500 0.000  3.71
Se: 0.902 0.903 0.805  0.08
Se: 0.098 0.098 0.195  0.08
F: 0.250 0.750 0.500  0.00
F: 0.750 0.250 0.500  0.00
O: 0.500 0.500 0.000  0.15

No. 3
FeSiO2F | PBE+U | optimized geometry

Properties
As for the space group: P4/mmm. The calculation puts the total magnetic moment at 3.03 μB per formula unit. The value obtained for the total energy is -0.2229 Ha/atom.

a b c (Å): 3.484 3.484 3.920
angles (deg): 90.00 90.00 90.00
Each line ends with the local moment (μB).
Positions (direct):
Si: 0.000 0.000 0.000  0.00
F: 0.000 0.000 0.500  0.01
O: 0.500 0.000 0.000  0.01
O: 0.000 0.500 0.000  0.01
Fe: 0.500 0.500 0.500  2.91

No. 4
FeSiO2F | PBE+U | optimized geometry

Properties
As for the space group: P4/mmm. The calculation puts the total magnetic moment at 4.99 μB per formula unit. The value obtained for the total energy is -0.2028 Ha/atom.

a b c (Å): 3.947 3.947 3.862
angles (deg): 90.00 90.00 90.00
Each line ends with the local moment (μB).
Positions (direct):
Fe: 0.000 0.000 0.000  4.43
O: 0.000 0.500 0.000  0.19
O: 0.500 0.000 0.000  0.19
Si: 0.500 0.500 0.500  0.00
F: 0.000 0.000 0.500  0.10

No. 5
SrFeO2F | PBE+U | optimized geometry

Properties
As for the space group: P4/mmm. The calculation puts the total magnetic moment at 5.00 μB per formula unit. The value obtained for the total energy is -0.2267 Ha/atom.

a b c (Å): 3.985 3.985 4.048
angles (deg): 90.00 90.00 90.00
Each line ends with the local moment (μB).
Positions (direct):
O: 0.500 0.000 0.000  0.22
O: 0.000 0.500 0.000  0.22
Sr: 0.500 0.500 0.500  0.00
F: 0.000 0.000 0.500  0.08
Fe: 0.000 0.000 0.000  4.39

No. 6
Sr3Fe2O4F4 | PBE+U | optimized geometry

Properties
As for the space group: I-4m2. The calculation puts the total magnetic moment at 10.00 μB per formula unit. The value obtained for the total energy is -0.2213 Ha/atom.

a b c (Å): 11.657 11.657 11.657
angles (deg): 160.38 160.38 27.89
Each line ends with the local moment (μB).
Positions (direct):
F: 0.250 0.750 0.500  0.01
F: 0.179 0.179 0.000  0.07
F: 0.821 0.821 0.000  0.07
F: 0.000 0.000 0.000  0.07
Fe: 0.909 0.909 0.000  4.39
Fe: 0.091 0.091 0.000  4.39
Sr: 0.672 0.672 0.000  0.00
Sr: 0.500 0.500 0.000  0.00
Sr: 0.328 0.328 0.000  0.00
O: 0.414 0.914 0.500  0.21
O: 0.908 0.408 0.500  0.20
O: 0.086 0.586 0.500  0.21
O: 0.592 0.092 0.500  0.20